Record 1
{
  "formula": "Tl2TcH",
  "functional": "GGA-PBE",
  "state": "optimized geometry",
  "dft_energy_ry_per_atom": -0.257,
  "space_group": "Fm-3m (225)",
  "total_magnetization_mub_per_fu": 3.04,
  "cell": [[0.0000, 3.3954, 3.3954], [3.3954, 0.0000, 3.3954], [3.3954, 3.3954, 0.0000]],
  "species": ["Tl", "Tl", "Tc", "H"],
  "frac_coords": [[0.2500, 0.2500, 0.2500], [0.7500, 0.7500, 0.7500], [0.0000, 0.0000, 0.0000], [0.5000, 0.5000, 0.5000]]
}

***

Record 2
{
  "formula": "MgPW2",
  "functional": "GGA-PBE",
  "state": "optimized geometry",
  "dft_energy_ry_per_atom": -0.570,
  "space_group": "C2/m (12)",
  "formation_energy_ev_per_atom": 0.4693,
  "total_magnetization_mub_per_fu": 0.00,
  "cell": [[2.7363, -4.3445, 0.0000], [2.7363, 4.3445, 0.0000], [-0.9796, 0.0000, 2.6097]],
  "species": ["Mg", "P", "W", "W"],
  "frac_coords": [[0.0000, 0.0000, 0.0000], [0.5000, 0.5000, 0.0000], [0.0000, 0.5000, 0.5000], [0.5000, 0.0000, 0.5000]]
}

***

Record 3
{
  "formula": "Tm3TcSb",
  "functional": "GGA-PBE",
  "state": "optimized geometry",
  "dft_energy_ry_per_atom": -0.441,
  "space_group": "C2/m (12)",
  "total_magnetization_mub_per_fu": 0.00,
  "raw_formation_energy_ev_per_fu": -2.08,
  "cell": [[7.7746, -2.0432, 0.0000], [7.7746, 2.0432, 0.0000], [-0.7041, 0.0000, 8.3911]],
  "species": ["Tm", "Tm", "Tm", "Tm", "Tm", "Tm", "Tc", "Tc", "Sb", "Sb"],
  "frac_coords": [[0.0554, 0.0554, 0.2036], [0.2444, 0.2444, 0.8029], [0.4013, 0.4013, 0.4417], [0.5987, 0.5987, 0.5583], [0.7556, 0.7556, 0.1971], [0.9446, 0.9446, 0.7964], [0.2128, 0.2128, 0.4620], [0.7872, 0.7872, 0.5380], [0.3931, 0.3931, 0.0695], [0.6069, 0.6069, 0.9305]]
}

***

Record 4
{
  "formula": "Ce3GaGe6Ru2",
  "functional": "GGA-PBE",
  "state": "optimized geometry",
  "dft_energy_ry_per_atom": -0.426,
  "space_group": "P-3m1 (164)",
  "formation_energy_ev_per_atom": -0.2118,
  "total_magnetization_mub_per_fu": 0.39,
  "cell": [[6.2737, 0.0000, 0.0000], [-3.1369, 5.4332, 0.0000], [0.0000, 0.0000, 7.3769]],
  "species": ["Ce", "Ce", "Ce", "Ga", "Ge", "Ge", "Ge", "Ge", "Ge", "Ge", "Ru", "Ru"],
  "frac_coords": [[0.0000, 0.0000, 0.0000], [0.3333, 0.6667, 0.6813], [0.6667, 0.3333, 0.3187], [0.0000, 0.0000, 0.5000], [0.1950, 0.3899, 0.2835], [0.1950, 0.8050, 0.2835], [0.3899, 0.1950, 0.7165], [0.6101, 0.8050, 0.2835], [0.8050, 0.1950, 0.7165], [0.8050, 0.6101, 0.7165], [0.3333, 0.6667, 0.9911], [0.6667, 0.3333, 0.0089]]
}

***

Record 5
{
  "formula": "CeTmTe3",
  "functional": "GGA-PBE",
  "state": "optimized geometry",
  "dft_energy_ry_per_atom": -0.391,
  "space_group": "Pnma (62)",
  "total_magnetization_mub_per_fu": 0.97,
  "raw_formation_energy_ev_per_fu": -6.74,
  "cell": [[8.2581, 0.0000, 0.0000], [0.0000, 4.4060, 0.0000], [0.0000, 0.0000, 17.2245]],
  "species": ["Ce", "Ce", "Ce", "Ce", "Tm", "Tm", "Tm", "Tm", "Te", "Te", "Te", "Te", "Te", "Te", "Te", "Te", "Te", "Te", "Te", "Te"],
  "frac_coords": [[0.1357, 0.2500, 0.2003], [0.3643, 0.7500, 0.7003], [0.6357, 0.2500, 0.2997], [0.8643, 0.7500, 0.7997], [0.2303, 0.7500, 0.4575], [0.2697, 0.2500, 0.9575], [0.7303, 0.7500, 0.0425], [0.7697, 0.2500, 0.5425], [0.0065, 0.2500, 0.3950], [0.1208, 0.7500, 0.0622], [0.1546, 0.2500, 0.7843], [0.3454, 0.7500, 0.2843], [0.3792, 0.2500, 0.5622], [0.4935, 0.7500, 0.8950], [0.5065, 0.2500, 0.1050], [0.6208, 0.7500, 0.4378], [0.6546, 0.2500, 0.7157], [0.8454, 0.7500, 0.2157], [0.8792, 0.2500, 0.9378], [0.9935, 0.7500, 0.6050]]
}

***

Record 6
{
  "formula": "Y2TeAu",
  "functional": "GGA-PBE",
  "state": "optimized geometry",
  "dft_energy_ry_per_atom": -0.427,
  "space_group": "Amm2 (38)",
  "total_magnetization_mub_per_fu": 0.00,
  "raw_formation_energy_ev_per_fu": -3.92,
  "cell": [[4.4026, 0.0000, 0.0000], [0.0000, 2.0715, 5.8071], [0.0000, -2.0715, 5.8071]],
  "species": ["Y", "Y", "Te", "Au"],
  "frac_coords": [[0.0000, 0.0000, 0.0000], [0.5000, 0.2772, 0.2772], [0.5000, 0.5514, 0.5514], [0.0000, 0.7531, 0.7531]]
}

***

Record 7
{
  "formula": "LaPb2I",
  "functional": "GGA-PBE",
  "state": "optimized geometry",
  "dft_energy_ry_per_atom": -0.282,
  "space_group": "I-42d (122)",
  "total_magnetization_mub_per_fu": 0.00,
  "raw_formation_energy_ev_per_fu": -1.46,
  "cell": [[-2.2867, 2.2867, 13.2568], [2.2867, -2.2867, 13.2568], [2.2867, 2.2867, -13.2568]],
  "species": ["La", "La", "Pb", "Pb", "Pb", "Pb", "I", "I"],
  "frac_coords": [[0.0000, 0.0000, 0.0000], [0.7500, 0.2500, 0.5000], [0.1117, 0.6250, 0.9867], [0.3750, 0.3617, 0.4867], [0.6383, 0.1250, 0.0133], [0.8750, 0.8883, 0.5133], [0.2500, 0.7500, 0.5000], [0.5000, 0.5000, 0.0000]]
}

***

Record 8
{
  "formula": "MnCrAsRu",
  "functional": "GGA-PBE",
  "state": "optimized geometry",
  "dft_energy_ry_per_atom": -0.608,
  "space_group": "F-43m (216)",
  "formation_energy_ev_per_atom": -0.0861,
  "total_magnetization_mub_per_fu": 2.01,
  "cell": [[0.0000, 2.9762, 2.9762], [2.9762, 0.0000, 2.9762], [2.9762, 2.9762, 0.0000]],
  "species": ["Mn", "Cr", "As", "Ru"],
  "frac_coords": [[0.0000, 0.0000, 0.0000], [0.2500, 0.2500, 0.2500], [0.5000, 0.5000, 0.5000], [0.7500, 0.7500, 0.7500]]
}